(1)
This record from Alexandria describes a relaxed LiMgTiAu crystal. The functional is PBE.

The formation enthalpy at 0 K comes out at -306 meV per atom. The value obtained for the calculated volume is 16.5 A^3/atom. For the density, the calculation gives 6.94 g/cm³. For the total magnetization, the calculation gives 0.00 μB/atom. The value obtained for the total energy is -3.98 eV per atom.

abc: 4.5380 4.5380 4.5380
angles: 60.00 60.00 60.00
Closest atoms and distances in Å follow each position.
Sites, in units of the cell vectors:
Mg  0.7500  0.7500  0.7500  4 Au 2.78, 4 Li 2.78
Li  0.0000  0.0000  0.0000  4 Ti 2.78, 4 Mg 2.78
Ti  0.2500  0.2500  0.2500  4 Au 2.78, 4 Li 2.78
Au  0.5000  0.5000  0.5000  4 Mg 2.78, 4 Ti 2.78


(2)
This record from Alexandria describes a relaxed K2LaCr crystal. The functional is PBE.

The formation enthalpy at 0 K comes out at 814 meV per atom. The value obtained for the calculated volume is 39.1 A^3/atom. For the density, the calculation gives 2.86 g/cm³. For the total magnetization, the calculation gives 1.10 μB/atom. The value obtained for the total energy is -3.37 eV per atom. Its excess energy over the best structure of this formula in the dataset is 271.0 meV per atom.

abc: 6.1783 7.7799 3.6531
angles: 77.57 87.18 112.68
Closest atoms and distances in Å follow each position.
Sites, in units of the cell vectors:
K  0.5000  0.0000  0.5000  6 K 3.51-3.67, 2 Cr 3.93, 2 La 3.93
Cr  0.5000  0.5000  0.0000  4 La 3.51-3.67, 2 Cr 3.65, 4 K 3.93
La  0.0000  0.5000  0.5000  4 Cr 3.51-3.67, 2 La 3.65, 4 K 3.93
K  0.0000  0.0000  0.0000  6 K 3.51-3.67, 2 La 3.93, 2 Cr 3.93


> Which value of formation enthalpy at 0 K does entry 2 give?

814 meV per atom


> Which of these has the lowest formation enthalpy at 0 K?

LiMgTiAu


> calculated volume of number 2 (K2LaCr)?

39.1 A^3/atom